First-principles (SCAN) data for a crystal of TaSeSN2 relaxed with PBEsol, as listed in Alexandria via LeMat-Bulk.

Properties
- SG: P4/mmm (123)
- Uncorrected formation energy: 0.396 eV/atom
- V: 16.0 Å³/atom
- M_tot: 0.480 μB/f.u.
- Energy: -112.89 eV per cell

a b c (Å): 3.9371 3.9371 5.1726
angles (deg): 90.00 90.00 90.00
With the nearest neighbours (Å) after each atom.
Atoms (fractional coordinates):
Ta 0.0000 0.0000 0.0000  4 N 1.97
Se 0.5000 0.5000 0.5000  4 S 2.78
S 0.0000 0.0000 0.5000  2 Ta 2.59, 4 Se 2.78
N 0.0000 0.5000 0.0000  2 Ta 1.97
N 0.5000 0.0000 0.0000  2 Ta 1.97

First-principles (SCAN) data for a crystal of TiSeS2N relaxed with PBEsol, as listed in Alexandria via LeMat-Bulk.

Properties
- SG: P4/mmm (123)
- Uncorrected formation energy: 0.635 eV/atom
- V: 16.4 Å³/atom
- M_tot: 1.325 μB/f.u.
- Energy: -61.48 eV per cell

a b c (Å): 4.7597 4.7597 3.6111
angles (deg): 90.00 90.00 90.00
With the nearest neighbours (Å) after each atom.
Atoms (fractional coordinates):
Ti 0.0000 0.0000 0.0000  8 S 2.99
Se 0.5000 0.5000 0.5000  2 N 1.81
S 0.0000 0.5000 0.5000  2 Se 2.38
S 0.5000 0.0000 0.5000  2 Se 2.38
N 0.5000 0.5000 0.0000  2 Se 1.81

First-principles (SCAN) data for a crystal of SrTaSN2 relaxed with PBEsol, as listed in Alexandria via LeMat-Bulk.

Properties
- SG: P4/mmm (123)
- Uncorrected formation energy: -1.045 eV/atom
- V: 16.5 Å³/atom
- M_tot: 0.001 μB/f.u.
- Energy: -122.30 eV per cell

a b c (Å): 4.0717 4.0717 4.9727
angles (deg): 90.00 90.00 90.00
With the nearest neighbours (Å) after each atom.
Atoms (fractional coordinates):
Sr 0.0000 0.0000 0.0000  4 S 2.88, 8 N 3.21
Ta 0.5000 0.5000 0.5000  4 N 2.04
S 0.5000 0.5000 0.0000  2 Ta 2.49
N 0.0000 0.5000 0.5000  2 Ta 2.04
N 0.5000 0.0000 0.5000  2 Ta 2.04

First-principles (SCAN) data for a crystal of SrTaSN2 relaxed with PBEsol, as listed in Alexandria via LeMat-Bulk.

Properties
- SG: P4/mmm (123)
- Uncorrected formation energy: 1.958 eV/atom
- V: 18.0 Å³/atom
- M_tot: 0.539 μB/f.u.
- Energy: -107.28 eV per cell

a b c (Å): 4.1414 4.1414 5.2617
angles (deg): 90.00 90.00 90.00
With the nearest neighbours (Å) after each atom.
Atoms (fractional coordinates):
Sr 0.0000 0.0000 0.0000  4 N 2.07
Ta 0.5000 0.5000 0.5000  4 S 2.93
S 0.0000 0.0000 0.5000  2 Sr 2.63, 4 Ta 2.93
N 0.0000 0.5000 0.0000  2 Sr 2.07
N 0.5000 0.0000 0.0000  2 Sr 2.07

First-principles (SCAN) data for a crystal of SrTcS2N relaxed with PBEsol, as listed in Alexandria via LeMat-Bulk.

Properties
- SG: P4/mmm (123)
- Uncorrected formation energy: 1.226 eV/atom
- V: 26.6 Å³/atom
- M_tot: 7.551 μB/f.u.
- Energy: -79.75 eV per cell

a b c (Å): 5.4055 5.4055 4.5546
angles (deg): 90.00 90.00 90.00
With the nearest neighbours (Å) after each atom.
Atoms (fractional coordinates):
Sr 0.0000 0.0000 0.0000  2 N 2.28
Tc 0.5000 0.5000 0.5000  8 S 3.53, 4 N 3.82
S 0.0000 0.5000 0.0000  2 Sr 2.70
S 0.5000 0.0000 0.0000  2 Sr 2.70
N 0.0000 0.0000 0.5000  2 Sr 2.28

First-principles (SCAN) data for a crystal of SrZnSN2 relaxed with PBEsol, as listed in Alexandria via LeMat-Bulk.

Properties
- SG: P4/mmm (123)
- Uncorrected formation energy: 1.355 eV/atom
- V: 25.3 Å³/atom
- M_tot: 4.629 μB/f.u.
- Energy: -57.22 eV per cell

a b c (Å): 4.6844 4.6844 5.7721
angles (deg): 90.00 90.00 90.00
With the nearest neighbours (Å) after each atom.
Atoms (fractional coordinates):
Sr 0.0000 0.0000 0.0000  4 N 2.34
Zn 0.5000 0.5000 0.5000  4 S 3.31
S 0.0000 0.0000 0.5000  2 Sr 2.89
N 0.0000 0.5000 0.0000  2 Sr 2.34
N 0.5000 0.0000 0.0000  2 Sr 2.34

First-principles (SCAN) data for a crystal of TaTeSN2 relaxed with PBEsol, as listed in Alexandria via LeMat-Bulk.

Properties
- SG: P4/mmm (123)
- Uncorrected formation energy: 1.653 eV/atom
- V: 15.1 Å³/atom
- M_tot: 1.854 μB/f.u.
- Energy: -123.78 eV per cell

a b c (Å): 3.9373 3.9373 4.8819
angles (deg): 90.00 90.00 90.00
With the nearest neighbours (Å) after each atom.
Atoms (fractional coordinates):
Ta 0.0000 0.0000 0.0000  4 S 2.78
Te 0.5000 0.5000 0.5000  4 N 1.97
S 0.5000 0.5000 0.0000  2 Te 2.44
N 0.0000 0.5000 0.5000  2 Te 1.97
N 0.5000 0.0000 0.5000  2 Te 1.97

First-principles (SCAN) data for a crystal of TaTeSN2 relaxed with PBEsol, as listed in Alexandria via LeMat-Bulk.

Properties
- SG: P4/mmm (123)
- Uncorrected formation energy: 0.256 eV/atom
- V: 16.3 Å³/atom
- M_tot: 0.002 μB/f.u.
- Energy: -130.76 eV per cell

a b c (Å): 4.0111 4.0111 5.0624
angles (deg): 90.00 90.00 90.00
With the nearest neighbours (Å) after each atom.
Atoms (fractional coordinates):
Ta 0.0000 0.0000 0.0000  4 N 2.01
Te 0.5000 0.5000 0.5000  4 S 2.84
S 0.0000 0.0000 0.5000  2 Ta 2.53
N 0.0000 0.5000 0.0000  2 Ta 2.01
N 0.5000 0.0000 0.0000  2 Ta 2.01

First-principles (SCAN) data for a crystal of TaTlSN2 relaxed with PBEsol, as listed in Alexandria via LeMat-Bulk.

Properties
- SG: P4/mmm (123)
- Uncorrected formation energy: -0.065 eV/atom
- V: 16.5 Å³/atom
- M_tot: 0.975 μB/f.u.
- Energy: -167.48 eV per cell

a b c (Å): 4.0159 4.0159 5.1217
angles (deg): 90.00 90.00 90.00
With the nearest neighbours (Å) after each atom.
Atoms (fractional coordinates):
Ta 0.0000 0.0000 0.0000  4 N 2.01
Tl 0.5000 0.5000 0.5000  4 S 2.84
S 0.0000 0.0000 0.5000  2 Ta 2.56, 4 Tl 2.84
N 0.0000 0.5000 0.0000  2 Ta 2.01
N 0.5000 0.0000 0.0000  2 Ta 2.01

First-principles (SCAN) data for a crystal of TaWSN2 relaxed with PBEsol, as listed in Alexandria via LeMat-Bulk.

Properties
- SG: P4/mmm (123)
- Uncorrected formation energy: 0.674 eV/atom
- V: 13.9 Å³/atom
- M_tot: 1.442 μB/f.u.
- Energy: -161.11 eV per cell

a b c (Å): 3.8548 3.8548 4.6840
angles (deg): 90.00 90.00 90.00
With the nearest neighbours (Å) after each atom.
Atoms (fractional coordinates):
Ta 0.0000 0.0000 0.0000  4 S 2.73, 8 N 3.03
W 0.5000 0.5000 0.5000  4 N 1.93
S 0.5000 0.5000 0.0000  2 W 2.34
N 0.0000 0.5000 0.5000  2 W 1.93
N 0.5000 0.0000 0.5000  2 W 1.93

First-principles (SCAN) data for a crystal of Tb3S3N relaxed with PBEsol, as listed in Alexandria via LeMat-Bulk.

Properties
- SG: Pnma (62)
- Uncorrected formation energy: -2.277 eV/atom
- V: 20.4 Å³/atom
- M_tot: 0.000 μB/f.u.
- Energy: -777.61 eV per cell

a b c (Å): 11.8288 3.8154 12.6498
angles (deg): 90.00 90.00 90.00
With the nearest neighbours (Å) after each atom.
Atoms (fractional coordinates):
Tb 0.0458 0.2500 0.1447  2 N 2.27
Tb 0.0710 0.2500 0.6301  1 N 2.17
Tb 0.2152 0.2500 0.8618  1 N 2.24
Tb 0.2848 0.7500 0.3618  1 N 2.24
Tb 0.4290 0.7500 0.1301  1 N 2.17
Tb 0.4542 0.7500 0.6447  2 N 2.27
Tb 0.5458 0.2500 0.3553  2 N 2.27
Tb 0.5710 0.2500 0.8699  1 N 2.17
Tb 0.7152 0.2500 0.6382  1 N 2.24
Tb 0.7848 0.7500 0.1382  1 N 2.24
Tb 0.9290 0.7500 0.3699  1 N 2.17
Tb 0.9542 0.7500 0.8553  2 N 2.27
S 0.0914 0.2500 0.3969  5 Tb 2.73-3.01
S 0.1348 0.7500 0.9933  5 Tb 2.70-2.90
S 0.2259 0.7500 0.6926  5 Tb 2.76-2.87
S 0.2741 0.2500 0.1926  5 Tb 2.76-2.87
S 0.3652 0.2500 0.4933  5 Tb 2.70-2.90
S 0.4086 0.7500 0.8969  5 Tb 2.73-3.01
S 0.5914 0.2500 0.1031  5 Tb 2.73-3.01
S 0.6348 0.7500 0.5067  5 Tb 2.70-2.90
S 0.7259 0.7500 0.8074  5 Tb 2.76-2.87
S 0.7741 0.2500 0.3074  5 Tb 2.76-2.87
S 0.8652 0.2500 0.0067  5 Tb 2.70-2.90
S 0.9086 0.7500 0.6031  5 Tb 2.73-3.01
N 0.0382 0.2500 0.7986  4 Tb 2.17-2.27
N 0.4618 0.7500 0.2986  4 Tb 2.17-2.27
N 0.5382 0.2500 0.7014  4 Tb 2.17-2.27
N 0.9618 0.7500 0.2014  4 Tb 2.17-2.27

First-principles (SCAN) data for a crystal of TcS2N2 relaxed with PBEsol, as listed in Alexandria via LeMat-Bulk.

Properties
- SG: I4/mmm (139)
- Uncorrected formation energy: 2.067 eV/atom
- V: 10.4 Å³/atom
- M_tot: 0.011 μB/f.u.
- Energy: -62.56 eV per cell

a b c (Å): 5.3980 5.3980 5.3980
angles (deg): 144.84 144.84 50.57
With the nearest neighbours (Å) after each atom.
Atoms (fractional coordinates):
Tc 0.0000 0.0000 0.0000  8 S 2.73, 8 N 2.93
S 0.3497 0.3497 0.0000  4 N 1.90
S 0.6503 0.6503 0.0000  4 N 1.90
N 0.2500 0.7500 0.5000  4 S 1.90
N 0.7500 0.2500 0.5000  4 S 1.90

First-principles (SCAN) data for a crystal of TcS2N relaxed with PBEsol, as listed in Alexandria via LeMat-Bulk.

Properties
- SG: R-3m (166)
- Uncorrected formation energy: 1.325 eV/atom
- V: 13.2 Å³/atom
- M_tot: 0.000 μB/f.u.
- Energy: -58.31 eV per cell

a b c (Å): 7.2037 7.2037 7.2037
angles (deg): 23.62 23.62 23.62
With the nearest neighbours (Å) after each atom.
Atoms (fractional coordinates):
Tc 0.0000 0.0000 0.0000  2 S 2.17
S 0.1034 0.1034 0.1034  3 N 2.16, 1 Tc 2.17
S 0.8966 0.8966 0.8966  3 N 2.16, 1 Tc 2.17
N 0.5000 0.5000 0.5000  6 S 2.16

First-principles (SCAN) data for a crystal of TcS2N relaxed with PBEsol, as listed in Alexandria via LeMat-Bulk.

Properties
- SG: R-3m (166)
- Uncorrected formation energy: 0.308 eV/atom
- V: 14.6 Å³/atom
- M_tot: 1.420 μB/f.u.
- Energy: -62.38 eV per cell

a b c (Å): 6.0832 6.0832 6.0832
angles (deg): 32.71 32.71 32.71
With the nearest neighbours (Å) after each atom.
Atoms (fractional coordinates):
Tc 0.0000 0.0000 0.0000  6 S 2.37
S 0.4093 0.4093 0.4093  1 N 1.56
S 0.5907 0.5907 0.5907  1 N 1.56
N 0.5000 0.5000 0.5000  2 S 1.56

First-principles (SCAN) data for a crystal of TcTeS2N relaxed with PBEsol, as listed in Alexandria via LeMat-Bulk.

Properties
- SG: P4/mmm (123)
- Uncorrected formation energy: 1.286 eV/atom
- V: 19.6 Å³/atom
- M_tot: 4.973 μB/f.u.
- Energy: -94.43 eV per cell

a b c (Å): 5.0234 5.0234 3.8843
angles (deg): 90.00 90.00 90.00
With the nearest neighbours (Å) after each atom.
Atoms (fractional coordinates):
Tc 0.0000 0.0000 0.0000  8 S 3.18, 4 N 3.55
Te 0.5000 0.5000 0.5000  2 N 1.94
S 0.0000 0.5000 0.5000  2 Te 2.51
S 0.5000 0.0000 0.5000  2 Te 2.51
N 0.5000 0.5000 0.0000  2 Te 1.94

First-principles (SCAN) data for a crystal of Te2SN relaxed with PBEsol, as listed in Alexandria via LeMat-Bulk.

Properties
- SG: R-3m (166)
- Uncorrected formation energy: 0.796 eV/atom
- V: 21.8 Å³/atom
- M_tot: 0.000 μB/f.u.
- Energy: -90.24 eV per cell

a b c (Å): 8.2849 8.2849 8.2849
angles (deg): 24.70 24.70 24.70
With the nearest neighbours (Å) after each atom.
Atoms (fractional coordinates):
Te 0.0805 0.0805 0.0805  1 N 1.94
Te 0.9195 0.9195 0.9195  1 N 1.94
S 0.5000 0.5000 0.5000  6 Te 2.91
N 0.0000 0.0000 0.0000  2 Te 1.94

First-principles (SCAN) data for a crystal of TeSN2 relaxed with PBEsol, as listed in Alexandria via LeMat-Bulk.

Properties
- SG: Fm-3m (225)
- Uncorrected formation energy: 2.141 eV/atom
- V: 11.9 Å³/atom
- M_tot: 0.000 μB/f.u.
- Energy: -56.90 eV per cell

a b c (Å): 4.0675 4.0675 4.0675
angles (deg): 60.00 60.00 60.00
With the nearest neighbours (Å) after each atom.
Atoms (fractional coordinates):
Te 0.0000 0.0000 0.0000  8 N 2.49
S 0.5000 0.5000 0.5000  8 N 2.49
N 0.2500 0.2500 0.2500  4 S 2.49, 4 Te 2.49
N 0.7500 0.7500 0.7500  4 Te 2.49, 4 S 2.49

First-principles (SCAN) data for a crystal of Te2SN relaxed with PBEsol, as listed in Alexandria via LeMat-Bulk.

Properties
- SG: Fm-3m (225)
- Uncorrected formation energy: 1.344 eV/atom
- V: 17.4 Å³/atom
- M_tot: 0.001 μB/f.u.
- Energy: -88.05 eV per cell

a b c (Å): 4.6170 4.6170 4.6170
angles (deg): 60.00 60.00 60.00
With the nearest neighbours (Å) after each atom.
Atoms (fractional coordinates):
Te 0.2500 0.2500 0.2500  4 S 2.83, 4 N 2.83
Te 0.7500 0.7500 0.7500  4 S 2.83, 4 N 2.83
S 0.0000 0.0000 0.0000  8 Te 2.83
N 0.5000 0.5000 0.5000  8 Te 2.83

First-principles (SCAN) data for a crystal of TeS3N relaxed with PBEsol, as listed in Alexandria via LeMat-Bulk.

Properties
- SG: Pm-3m (221)
- Uncorrected formation energy: 1.124 eV/atom
- V: 15.1 Å³/atom
- M_tot: 0.000 μB/f.u.
- Energy: -69.81 eV per cell

a b c (Å): 4.2264 4.2264 4.2264
angles (deg): 90.00 90.00 90.00
With the nearest neighbours (Å) after each atom.
Atoms (fractional coordinates):
Te 0.0000 0.0000 0.0000  12 S 2.99
S 0.0000 0.5000 0.5000  2 N 2.11
S 0.5000 0.0000 0.5000  2 N 2.11
S 0.5000 0.5000 0.0000  2 N 2.11
N 0.5000 0.5000 0.5000  6 S 2.11

First-principles (SCAN) data for a crystal of ZnTeS2N relaxed with PBEsol, as listed in Alexandria via LeMat-Bulk.

Properties
- SG: P4/mmm (123)
- Uncorrected formation energy: 0.739 eV/atom
- V: 16.5 Å³/atom
- M_tot: 0.000 μB/f.u.
- Energy: -75.62 eV per cell

a b c (Å): 4.7215 4.7215 3.6992
angles (deg): 90.00 90.00 90.00
With the nearest neighbours (Å) after each atom.
Atoms (fractional coordinates):
Zn 0.0000 0.0000 0.0000  2 N 1.85
Te 0.5000 0.5000 0.0000  8 S 3.00, 4 Zn 3.34
S 0.0000 0.5000 0.5000  2 N 2.36
S 0.5000 0.0000 0.5000  2 N 2.36
N 0.0000 0.0000 0.5000  2 Zn 1.85